Computed, not measured: a geometry-optimized Ce5ThSi2 structure at the PBE level of DFT.

The structure in CIF format:
```
data_Ce5ThSi2
_chemical_formula_sum 'Ce10 Th2 Si4'
_cell_length_a 4.157
_cell_length_b 9.628
_cell_length_c 10.551
_cell_angle_alpha 90.00
_cell_angle_beta 90.00
_cell_angle_gamma 90.00
_symmetry_space_group_name_H-M 'I m m m'
_symmetry_Int_Tables_number 71
_symmetry_space_group_name_Hall '-I 2 2'
loop_
_atom_site_label
_atom_site_fract_x
_atom_site_fract_y
_atom_site_fract_z
Ce1 0.000 0.000 0.000
Ce2 0.000 0.300 0.335
Th1 0.000 0.500 0.000
Si1 0.000 0.000 0.287
```

Results
**ρ**: 7.78 g/cm3
**E_form (uncorrected)**: -2.12 eV per formula unit
**Density of states at the Fermi level**: 45.19 states/eV/cell
**Spin magnetization**: 2.8 μB per formula unit


Computed, not measured: a geometry-optimized CeThSi4 structure at the PBE level of DFT.

The structure in CIF format:
```
data_CeThSi4
_chemical_formula_sum 'Ce2 Th2 Si8'
_cell_length_a 4.116
_cell_length_b 4.116
_cell_length_c 14.296
_cell_angle_alpha 90.00
_cell_angle_beta 90.00
_cell_angle_gamma 90.00
_symmetry_space_group_name_H-M 'I -4 m 2'
_symmetry_Int_Tables_number 119
_symmetry_space_group_name_Hall 'I -4 -2'
loop_
_atom_site_label
_atom_site_fract_x
_atom_site_fract_y
_atom_site_fract_z
Ce1 0.000 0.000 0.000
Th1 0.000 0.500 0.250
Si1 0.000 0.000 0.418
Si2 0.000 0.500 0.666
```

Results
**ρ**: 6.64 g/cm3
**E_form (uncorrected)**: -3.82 eV per formula unit
**Density of states at the Fermi level**: 12.44 states/eV/cell
**Spin magnetization**: 0.0 μB per formula unit


Computed, not measured: a geometry-optimized Ce3Th3Si4 structure at the PBE level of DFT.

The structure in CIF format:
```
data_Ce3Th3Si4
_chemical_formula_sum 'Ce6 Th6 Si8'
_cell_length_a 4.152
_cell_length_b 10.937
_cell_length_c 10.940
_cell_angle_alpha 90.00
_cell_angle_beta 90.00
_cell_angle_gamma 90.00
_symmetry_space_group_name_H-M 'A m m 2'
_symmetry_Int_Tables_number 38
loop_
_symmetry_equiv_pos_as_xyz
'x,y,z'
'-x,-y,z'
'-x,y,z'
'x,-y,z'
'x,y+1/2,z+1/2'
'-x,-y+1/2,z+1/2'
'-x,y+1/2,z+1/2'
'x,-y+1/2,z+1/2'
loop_
_atom_site_label
_atom_site_fract_x
_atom_site_fract_y
_atom_site_fract_z
Ce1 0.000 0.000 0.000
Ce2 0.500 0.247 0.067
Th1 0.000 0.000 0.637
Th2 0.000 0.181 0.318
Si1 0.500 0.000 0.204
Si2 0.500 0.000 0.431
Si3 0.500 0.112 0.819
```

Results
**ρ**: 8.22 g/cm3
**E_form (uncorrected)**: -6.13 eV per formula unit
**Density of states at the Fermi level**: 35.55 states/eV/cell
**Spin magnetization**: 1.4 μB per formula unit


Computed, not measured: a geometry-optimized CeTh2Si6 structure at the PBE level of DFT.

The structure in CIF format:
```
data_CeTh2Si6
_chemical_formula_sum 'Ce1 Th2 Si6'
_cell_length_a 7.1043
_cell_length_b 7.1043
_cell_length_c 4.1640
_cell_angle_alpha 90.00
_cell_angle_beta 90.00
_cell_angle_gamma 120.00
_symmetry_space_group_name_H-M 'P 6/m m m'
_symmetry_Int_Tables_number 191
_symmetry_space_group_name_Hall '-P 6 2'
loop_
_atom_site_label
_atom_site_fract_x
_atom_site_fract_y
_atom_site_fract_z
Ce1 0.0000 0.0000 0.0000
Th1 0.3333 0.6667 0.0000
Si1 0.0000 0.3322 0.5000
```

Results
**ρ**: 7.05 g/cm3
**E_form (uncorrected)**: -5.75 eV per formula unit
**Density of states at the Fermi level**: 5.16 states/eV/cell
**Spin magnetization**: 0.0 μB per formula unit


- Which value of density of states at the Fermi level does entry 3 give?
  35.55 states/eV/cell